[1]
Here is a geometry-optimized Sc2AsCl structure from the Alexandria database. Energies are from GGA-PBEsol.

Cell and atoms, written as CIF:
```
data_Sc2AsCl
_chemical_formula_sum 'Sc4 As2 Cl2'
_space_group_name_H-M_alt 'I -4 m 2'
_space_group_IT_number 119
_space_group_name_Hall 'I -4 -2'
_cell_length_a 3.691
_cell_length_b 3.691
_cell_length_c 11.883
_cell_angle_alpha 90.00
_cell_angle_beta 90.00
_cell_angle_gamma 90.00
loop_
_atom_site_label
_atom_site_type_symbol
_atom_site_fract_x
_atom_site_fract_y
_atom_site_fract_z
_atom_site_occupancy
Sc1 Sc 0.000 0.000 0.000 1
Sc2 Sc 0.000 0.500 0.250 1
As1 As 0.000 0.000 0.500 1
Cl1 Cl 0.000 0.500 0.750 1
```

Results
The uncorrected formation energy is -0.9402 eV per atom.

=====

[2]
Here is a geometry-optimized Ba2OsBr structure from the Alexandria database. Energies are from GGA-PBEsol.

Cell and atoms, written as CIF:
```
data_Ba2OsBr
_chemical_formula_sum 'Ba8 Os4 Br4'
_space_group_name_H-M_alt 'F -4 3 m'
_space_group_IT_number 216
_space_group_name_Hall 'F -4 2 3'
_cell_length_a 7.610
_cell_length_b 7.610
_cell_length_c 7.610
_cell_angle_alpha 90.00
_cell_angle_beta 90.00
_cell_angle_gamma 90.00
loop_
_atom_site_label
_atom_site_type_symbol
_atom_site_fract_x
_atom_site_fract_y
_atom_site_fract_z
_atom_site_occupancy
Ba1 Ba 0.000 0.000 0.000 1
Ba2 Ba 0.250 0.250 0.250 1
Os1 Os 0.000 0.000 0.500 1
Br1 Br 0.250 0.250 0.750 1
```

Results
The uncorrected formation energy is 0.4981 eV per atom. The polymorph energy (0 for the lowest one) comes out at 0.7222 eV per atom.

=====

[3]
Here is a geometry-optimized BaNiRu2 structure from the Alexandria database. Energies are from GGA-PBEsol.

Cell and atoms, written as CIF:
```
data_BaNiRu2
_chemical_formula_sum 'Ba1 Ni1 Ru2'
_space_group_name_H-M_alt 'P 4/m m m'
_space_group_IT_number 123
_space_group_name_Hall '-P 4 2'
_cell_length_a 3.042
_cell_length_b 3.042
_cell_length_c 7.669
_cell_angle_alpha 90.00
_cell_angle_beta 90.00
_cell_angle_gamma 90.00
loop_
_atom_site_label
_atom_site_type_symbol
_atom_site_fract_x
_atom_site_fract_y
_atom_site_fract_z
_atom_site_occupancy
Ba1 Ba 0.000 0.000 0.000 1
Ni1 Ni 0.000 0.000 0.500 1
Ru1 Ru 0.500 0.500 0.336 1
```

Results
The formation energy from the elements is 3.0 eV per formula unit. The polymorph energy (0 for the lowest one) comes out at 0.4132 eV per atom.

=====

[4]
Here is a geometry-optimized Li2TlMo structure from the Alexandria database. Energies are from GGA-PBEsol.

Cell and atoms, written as CIF:
```
data_Li2TlMo
_chemical_formula_sum 'Li8 Tl4 Mo4'
_space_group_name_H-M_alt 'F -4 3 m'
_space_group_IT_number 216
_space_group_name_Hall 'F -4 2 3'
_cell_length_a 6.514
_cell_length_b 6.514
_cell_length_c 6.514
_cell_angle_alpha 90.00
_cell_angle_beta 90.00
_cell_angle_gamma 90.00
loop_
_atom_site_label
_atom_site_type_symbol
_atom_site_fract_x
_atom_site_fract_y
_atom_site_fract_z
_atom_site_occupancy
Li1 Li 0.000 0.000 0.000 1
Li2 Li 0.250 0.250 0.250 1
Tl1 Tl 0.000 0.000 0.500 1
Mo1 Mo 0.250 0.250 0.750 1
```

Results
The formation energy from the elements is 1.9 eV per formula unit. The polymorph energy (0 for the lowest one) comes out at 0.0000 eV per atom.

=====

no.,electronic total energy (eV per atom)
1,-6.02
2,-4.10
3,-6.41
4,-4.10